# BaYAgSe3 (PBE, optimized geometry)
# Size of the total moment: 0.000 μB per atom
# Space-group type: P2_1/m
# Uncorrected energy: -5.165 eV/atom
data_BaYAgSe3
_chemical_formula_sum 'Ba2 Y2 Ag2 Se6'
_symmetry_space_group_name_H-M 'P 1'
_symmetry_Int_Tables_number 1
_symmetry_space_group_name_Hall 'P 1'
_cell_length_a 4.275
_cell_length_b 8.727
_cell_length_c 9.576
_cell_angle_alpha 105.88
_cell_angle_beta 90.00
_cell_angle_gamma 90.00
loop_
_atom_site_label
_atom_site_type_symbol
_atom_site_fract_x
_atom_site_fract_y
_atom_site_fract_z
Y1 Y 0.750 0.322 0.841
Y2 Y 0.250 0.678 0.159
Ba1 Ba 0.250 0.205 0.249
Ba2 Ba 0.750 0.795 0.751
Se1 Se 0.250 0.106 0.873
Se2 Se 0.750 0.894 0.127
Se3 Se 0.750 0.449 0.154
Se4 Se 0.750 0.251 0.528
Se5 Se 0.250 0.551 0.846
Se6 Se 0.250 0.749 0.472
Ag1 Ag 0.250 0.087 0.590
Ag2 Ag 0.750 0.913 0.410



# BaYAgSe3 (PBE, optimized geometry)
# Size of the total moment: 0.000 μB per atom
# Space-group type: Cmcm
# Uncorrected energy: -5.164 eV/atom
data_BaYAgSe3
_chemical_formula_sum 'Ba2 Y2 Ag2 Se6'
_symmetry_space_group_name_H-M 'P 1'
_symmetry_Int_Tables_number 1
_symmetry_space_group_name_Hall 'P 1'
_cell_length_a 7.481
_cell_length_b 7.481
_cell_length_c 10.806
_cell_angle_alpha 90.00
_cell_angle_beta 90.00
_cell_angle_gamma 146.64
loop_
_atom_site_label
_atom_site_type_symbol
_atom_site_fract_x
_atom_site_fract_y
_atom_site_fract_z
Se1 Se 0.920 0.080 0.250
Se2 Se 0.080 0.920 0.750
Se3 Se 0.636 0.364 0.050
Se4 Se 0.364 0.636 0.950
Se5 Se 0.636 0.364 0.450
Se6 Se 0.364 0.636 0.550
Y1 Y 0.000 0.000 0.500
Y2 Y 0.000 0.000 0.000
Ba1 Ba 0.249 0.751 0.250
Ba2 Ba 0.751 0.249 0.750
Ag1 Ag 0.470 0.530 0.750
Ag2 Ag 0.530 0.470 0.250



# BaYAg2Se4 (PBE, optimized geometry)
# Size of the total moment: 0.000 μB per atom
# Space-group type: I222
# Uncorrected energy: -4.556 eV/atom
# DOS(E_F): 2.3 states/eV/f.u.
data_BaYAg2Se4
_chemical_formula_sum 'Ba1 Y1 Ag2 Se4'
_symmetry_space_group_name_H-M 'P 1'
_symmetry_Int_Tables_number 1
_symmetry_space_group_name_Hall 'P 1'
_cell_length_a 7.145
_cell_length_b 6.709
_cell_length_c 6.709
_cell_angle_alpha 68.17
_cell_angle_beta 57.83
_cell_angle_gamma 57.83
loop_
_atom_site_label
_atom_site_type_symbol
_atom_site_fract_x
_atom_site_fract_y
_atom_site_fract_z
Se1 Se 0.908 0.522 0.093
Se2 Se 0.092 0.907 0.478
Se3 Se 0.523 0.478 0.907
Se4 Se 0.477 0.093 0.522
Y1 Y 0.500 0.500 0.500
Ag1 Ag 0.811 0.689 0.689
Ag2 Ag 0.189 0.311 0.311
Ba1 Ba 0.000 0.000 0.000



# Ba2YAgSe4 (PBE, optimized geometry)
# Size of the total moment: 0.000 μB per atom
# Space-group type: P2/m
# Uncorrected energy: -4.924 eV/atom
data_Ba2YAgSe4
_chemical_formula_sum 'Ba2 Y1 Ag1 Se4'
_symmetry_space_group_name_H-M 'P 1'
_symmetry_Int_Tables_number 1
_symmetry_space_group_name_Hall 'P 1'
_cell_length_a 4.412
_cell_length_b 7.586
_cell_length_c 7.764
_cell_angle_alpha 69.44
_cell_angle_beta 90.00
_cell_angle_gamma 90.00
loop_
_atom_site_label
_atom_site_type_symbol
_atom_site_fract_x
_atom_site_fract_y
_atom_site_fract_z
Y1 Y 0.000 0.500 0.500
Ba1 Ba 0.500 0.000 0.500
Ba2 Ba 0.000 0.000 0.000
Ag1 Ag 0.500 0.500 0.000
Se1 Se 0.500 0.720 0.274
Se2 Se 0.000 0.292 0.246
Se3 Se 0.500 0.280 0.726
Se4 Se 0.000 0.708 0.754



# Ba2ZnAgSe (PBE, optimized geometry)
# Size of the total moment: 0.000 μB per atom
# Space-group type: P4/mmm
# Uncorrected energy: -2.719 eV/atom
# DOS(E_F): 4.4 states/eV/f.u.
data_Ba2ZnAgSe
_chemical_formula_sum 'Ba2 Zn1 Ag1 Se1'
_symmetry_space_group_name_H-M 'P 1'
_symmetry_Int_Tables_number 1
_symmetry_space_group_name_Hall 'P 1'
_cell_length_a 6.287
_cell_length_b 4.882
_cell_length_c 6.287
_cell_angle_alpha 90.00
_cell_angle_beta 90.00
_cell_angle_gamma 90.00
loop_
_atom_site_label
_atom_site_type_symbol
_atom_site_fract_x
_atom_site_fract_y
_atom_site_fract_z
Ba1 Ba 0.500 0.000 0.000
Ba2 Ba 0.000 0.000 0.500
Se1 Se 0.000 0.000 0.000
Ag1 Ag 0.500 0.500 0.500
Zn1 Zn 0.000 0.500 0.000



# Ba3ZrAg2Se6 (PBE, optimized geometry)
# Size of the total moment: 0.000 μB per atom
# Space-group type: P-3m1
# Uncorrected energy: -4.568 eV/atom
# DOS(E_F): 0.1 states/eV/f.u.
data_Ba3ZrAg2Se6
_chemical_formula_sum 'Ba3 Zr1 Ag2 Se6'
_symmetry_space_group_name_H-M 'P 1'
_symmetry_Int_Tables_number 1
_symmetry_space_group_name_Hall 'P 1'
_cell_length_a 7.730
_cell_length_b 7.730
_cell_length_c 8.074
_cell_angle_alpha 90.00
_cell_angle_beta 90.00
_cell_angle_gamma 120.00
loop_
_atom_site_label
_atom_site_type_symbol
_atom_site_fract_x
_atom_site_fract_y
_atom_site_fract_z
Ba1 Ba 0.333 0.667 0.601
Ba2 Ba 0.000 0.000 0.000
Ba3 Ba 0.667 0.333 0.399
Se1 Se 0.162 0.838 0.302
Se2 Se 0.676 0.838 0.302
Se3 Se 0.324 0.162 0.698
Se4 Se 0.162 0.324 0.302
Se5 Se 0.838 0.676 0.698
Se6 Se 0.838 0.162 0.698
Ag1 Ag 0.667 0.333 0.849
Ag2 Ag 0.333 0.667 0.151
Zr1 Zr 0.000 0.000 0.500



# Ba2ZrAgSe5 (PBE, optimized geometry)
# Size of the total moment: 0.000 μB per atom
# Space-group type: Cmc2_1
# Uncorrected energy: -4.955 eV/atom
# DOS(E_F): 4.8 states/eV/f.u.
data_Ba2ZrAgSe5
_chemical_formula_sum 'Ba4 Zr2 Ag2 Se10'
_symmetry_space_group_name_H-M 'P 1'
_symmetry_Int_Tables_number 1
_symmetry_space_group_name_Hall 'P 1'
_cell_length_a 4.167
_cell_length_b 9.730
_cell_length_c 13.208
_cell_angle_alpha 90.00
_cell_angle_beta 90.00
_cell_angle_gamma 102.37
loop_
_atom_site_label
_atom_site_type_symbol
_atom_site_fract_x
_atom_site_fract_y
_atom_site_fract_z
Se1 Se 0.497 0.994 0.766
Se2 Se 0.343 0.686 0.009
Se3 Se 0.292 0.584 0.653
Se4 Se 0.708 0.416 0.153
Se5 Se 0.059 0.117 0.055
Se6 Se 0.503 0.006 0.266
Se7 Se 0.698 0.396 0.874
Se8 Se 0.657 0.314 0.509
Se9 Se 0.302 0.604 0.374
Se10 Se 0.941 0.883 0.555
Zr1 Zr 0.203 0.405 0.016
Zr2 Zr 0.797 0.595 0.516
Ba1 Ba 0.127 0.253 0.319
Ba2 Ba 0.118 0.235 0.693
Ba3 Ba 0.873 0.747 0.819
Ba4 Ba 0.882 0.765 0.193
Ag1 Ag 0.443 0.887 0.440
Ag2 Ag 0.557 0.113 0.940



# BaSiAg2 (PBE, optimized geometry)
# Size of the total moment: 0.000 μB per atom
# Space-group type: Imm2
# Uncorrected energy: -3.249 eV/atom
# DOS(E_F): 1.5 states/eV/f.u.
data_BaSiAg2
_chemical_formula_sum 'Ba1 Si1 Ag2'
_symmetry_space_group_name_H-M 'P 1'
_symmetry_Int_Tables_number 1
_symmetry_space_group_name_Hall 'P 1'
_cell_length_a 5.451
_cell_length_b 5.451
_cell_length_c 5.451
_cell_angle_alpha 129.21
_cell_angle_beta 111.24
_cell_angle_gamma 90.32
loop_
_atom_site_label
_atom_site_type_symbol
_atom_site_fract_x
_atom_site_fract_y
_atom_site_fract_z
Ba1 Ba 0.482 0.482 0.000
Ag1 Ag 0.819 0.319 0.500
Ag2 Ag 0.034 0.034 0.000
Si1 Si 0.165 0.665 0.500